DFT (PBE-GGA) results for a relaxed Sc5InHg crystal.

Values from the calculation:
ΔE_f, eV/atom: -0.121
Symmetry: C2/c (15)

Cell lengths 5.6560, 5.6560, 10.7178 Å; angles 99.75, 99.75, 92.88 degrees
Atoms (fractional coordinates):
Sc1 0.0111 0.5718 0.1506
Sc2 0.1090 0.8910 0.7500
Sc3 0.2385 0.5215 0.4666
Sc4 0.4282 0.9889 0.3494
Sc5 0.4785 0.7615 0.0334
Sc6 0.5215 0.2385 0.9666
Sc7 0.5718 0.0111 0.6506
Sc8 0.7615 0.4785 0.5334
Sc9 0.8910 0.1090 0.2500
Sc10 0.9889 0.4282 0.8494
In1 0.4702 0.5298 0.7500
In2 0.5298 0.4702 0.2500
Hg1 0.0000 0.0000 0.0000
Hg2 0.0000 0.0000 0.5000